# Na2CdCuIr (PBE-GGA, relaxed)
# formation enthalpy at 0 K: 0.9712 eV/atom
# total magnetization: 0.10 μB/atom
# DOS at the Fermi energy: 5.6 states/eV/f.u.
# VASP energy: -11.654 eV for the cell shown
data_Na2CdCuIr
_chemical_formula_sum 'Na2 Cd1 Cu1 Ir1'
_cell_length_a 4.849
_cell_length_b 4.849
_cell_length_c 4.920
_cell_angle_alpha 90.00
_cell_angle_beta 90.00
_cell_angle_gamma 90.00
_space_group_name_H-M_alt 'P 4/m m m'
_space_group_IT_number 123
_space_group_name_Hall '-P 4 2'
loop_
_atom_site_label
_atom_site_type_symbol
_atom_site_fract_x
_atom_site_fract_y
_atom_site_fract_z
Na1 Na 0.000 0.500 0.000
Cd1 Cd 0.000 0.000 0.500
Cu1 Cu 0.000 0.000 0.000
Ir1 Ir 0.500 0.500 0.500



# Cd2CuIrO6 (PBE-GGA, relaxed)
# total magnetization: 0.00 μB/atom
# DOS at the Fermi energy: 5.8 states/eV/f.u.
# VASP energy: -154.747 eV for the cell shown
data_Cd2CuIrO6
_chemical_formula_sum 'Cd6 Cu3 Ir3 O18'
_cell_length_a 5.5172
_cell_length_b 5.5172
_cell_length_c 13.6343
_cell_angle_alpha 90.00
_cell_angle_beta 90.00
_cell_angle_gamma 120.00
_space_group_name_H-M_alt 'R 3'
_space_group_IT_number 146
_space_group_name_Hall 'R 3'
loop_
_atom_site_label
_atom_site_type_symbol
_atom_site_fract_x
_atom_site_fract_y
_atom_site_fract_z
Cd1 Cd 0.0000 0.0000 0.0000
Cd2 Cd 0.0000 0.0000 0.4945
Cu1 Cu 0.0000 0.0000 0.2417
Ir1 Ir 0.0000 0.0000 0.7250
O1 O 0.0049 0.4041 0.4638
O2 O 0.0761 0.7120 0.3004